Entry 1:
## BaPr2Pd9 (GGA-PBE)

Data for a relaxed structure of BaPr2Pd9.

POSCAR file:
```
BaPr2Pd9
1.0
2.7707 1.5996 9.0307
-2.7707 1.5996 9.0307
0.0000 -3.1993 9.0307
Ba Pr Pd
1 2 9
direct
0.0000 0.0000 0.0000
0.1388 0.1388 0.1388
0.8612 0.8612 0.8612
0.0823 0.5876 0.5875
0.3330 0.3330 0.3330
0.4125 0.4124 0.9177
0.4125 0.9177 0.4125
0.5000 0.5000 0.5000
0.5875 0.0823 0.5875
0.5875 0.5875 0.0823
0.6670 0.6670 0.6670
0.9177 0.4125 0.4125
```

Computed properties:
Fermi-level density of states (states/eV per atom): 0.63
Raw total energy (eV/atom): -5.4614
Symmetry: R-3m, No. 166
Formation energy from the elements (eV/atom): -0.610

Entry 2:
## BaPrPdPt (GGA-PBE)

Data for a relaxed structure of BaPrPdPt.

POSCAR file:
```
BaPrPdPt
1.0
0.0000 3.7431 3.7431
3.7431 0.0000 3.7431
3.7431 3.7431 0.0000
Ba Pr Pd Pt
1 1 1 1
direct
0.0000 0.0000 0.0000
0.5000 0.5000 0.5000
0.2500 0.2500 0.2500
0.7500 0.7500 0.7500
```

Computed properties:
Fermi-level density of states (states/eV per atom): 0.43
Raw total energy (eV/atom): -5.1299
Offset from the most stable computed form (meV per atom): 49
Symmetry: F-43m, No. 216
Formation energy from the elements (eV/atom): -0.646

Entry 3:
## BaPrPdPt (GGA-PBE)

Data for a relaxed structure of BaPrPdPt.

POSCAR file:
```
BaPrPdPt
1.0
4.7468 0.0000 0.0000
-2.3734 4.1108 0.0000
0.0000 0.0000 5.9754
Ba Pr Pd Pt
1 1 1 1
direct
0.0000 0.0000 0.0000
0.6667 0.3333 0.4902
0.3333 0.6667 0.7370
0.3333 0.6667 0.2703
```

Computed properties:
Fermi-level density of states (states/eV per atom): 0.80
Raw total energy (eV/atom): -5.1784
Offset from the most stable computed form (meV per atom): 0
Symmetry: P3m1, No. 156
Formation energy from the elements (eV/atom): -0.694

Entry 4:
## BaPrSb2Pd5 (GGA-PBE)

Data for a relaxed structure of BaPrSb2Pd5.

POSCAR file:
```
BaPrSb2Pd5
1.0
5.0535 0.0000 0.0000
0.0000 5.0535 0.0000
0.0000 0.0000 9.3466
Ba Pr Sb Pd
1 1 2 5
direct
0.0000 0.0000 0.0000
0.0000 0.0000 0.5000
0.5000 0.5000 0.2747
0.5000 0.5000 0.7253
0.0000 0.5000 0.3323
0.0000 0.5000 0.6677
0.5000 0.0000 0.3323
0.5000 0.0000 0.6677
0.5000 0.5000 0.0000
```

Computed properties:
Fermi-level density of states (states/eV per atom): 0.50
Raw total energy (eV/atom): -5.0795
Raw formation energy (kJ per mole of atoms): -51.5
Symmetry: P4/mmm, No. 123

Entry 5:
## Ba2PrSn3Pd4 (GGA-PBE)

Data for a relaxed structure of Ba2PrSn3Pd4.

POSCAR file:
```
Ba2PrSn3Pd4
1.0
4.7918 0.0000 0.0000
0.0000 4.7918 0.0000
0.0000 0.0000 11.4327
Ba Pr Sn Pd
2 1 3 4
direct
0.0000 0.5000 0.2303
0.5000 0.0000 0.7697
0.0000 0.0000 0.5000
0.0000 0.5000 0.8865
0.5000 0.0000 0.1135
0.5000 0.5000 0.5000
0.0000 0.0000 0.0000
0.0000 0.5000 0.6477
0.5000 0.0000 0.3523
0.5000 0.5000 0.0000
```

Computed properties:
Fermi-level density of states (states/eV per atom): 0.50
Raw total energy (eV/atom): -4.8786
Symmetry: P-4m2, No. 115
Formation energy from the elements (eV/atom): -0.738

Entry 6:
## Ba4PdPt (GGA-PBE)

Data for a relaxed structure of Ba4PdPt.

POSCAR file:
```
Ba4PdPt
1.0
8.4978 -2.3184 0.0000
8.4978 2.3184 0.0000
-3.8040 0.0000 7.0878
Ba Pd Pt
4 1 1
direct
0.1139 0.1139 0.2766
0.3857 0.3857 0.2151
0.6143 0.6143 0.7849
0.8861 0.8861 0.7234
0.0000 0.0000 0.5000
0.5000 0.5000 0.0000
```

Computed properties:
Fermi-level density of states (states/eV per atom): 0.41
Raw total energy (eV/atom): -3.6873
Offset from the most stable computed form (meV per atom): 0
Symmetry: C2/m, No. 12
Formation energy from the elements (eV/atom): -0.533

Entry 7:
## Ba4PdPt (GGA-PBE)

Data for a relaxed structure of Ba4PdPt.

POSCAR file:
```
Ba4PdPt
1.0
4.6717 -9.1175 0.0000
4.6717 9.1175 0.0000
-4.6707 0.0000 6.4398
Ba Pd Pt
8 2 2
direct
0.0634 0.4308 0.7497
0.1929 0.2977 0.2454
0.2977 0.1929 0.7454
0.4308 0.0634 0.2497
0.5692 0.9366 0.7503
0.7023 0.8071 0.2546
0.8071 0.7023 0.7546
0.9366 0.5692 0.2503
0.4284 0.5716 0.7500
0.5716 0.4284 0.2500
0.0710 0.9290 0.2500
0.9290 0.0710 0.7500
```

Computed properties:
Fermi-level density of states (states/eV per atom): 0.63
Raw total energy (eV/atom): -3.6547
Offset from the most stable computed form (meV per atom): 33
Symmetry: C2/c, No. 15
Formation energy from the elements (eV/atom): -0.501

Entry 8:
## Ba2Pd5Pt5 (GGA-PBE)

Data for a relaxed structure of Ba2Pd5Pt5.

POSCAR file:
```
Ba2Pd5Pt5
1.0
4.4325 0.0000 0.0000
0.0000 5.5447 0.0000
0.0000 0.0000 9.6427
Ba Pd Pt
2 5 5
direct
0.0000 0.0000 0.0000
0.0000 0.5000 0.5000
0.0000 0.0000 0.3303
0.0000 0.0000 0.6697
0.0000 0.5000 0.1667
0.0000 0.5000 0.8333
0.5000 0.0000 0.5000
0.5000 0.2488 0.2474
0.5000 0.2488 0.7526
0.5000 0.5000 0.0000
0.5000 0.7512 0.2474
0.5000 0.7512 0.7526
```

Computed properties:
Fermi-level density of states (states/eV per atom): 0.80
Raw total energy (eV/atom): -5.4500
Symmetry: Pmmm, No. 47
Formation energy from the elements (eV/atom): -0.449